Here is a relaxed structure of MgZn2Cu from Alexandria. Energies are from PBE.

a = 2.839 Å, b = 4.187 Å, c = 5.373 Å
α = 90.00°, β = 105.01°, γ = 90.00°
Space group Pm (No. 6)
Symmetry-distinct sites (fractional):
Mg (0.000, 0.000, 0.000) x1
Zn (0.263, 0.000, 0.527) x1
Zn (0.656, 0.500, 0.316) x1
Cu (0.398, 0.500, 0.791) x1

The calculation puts the volume at 62 Å³/cell. For the density of states at the Fermi level, the calculation gives 1.03 states/eV per cell. For the calculated formation energy, the calculation gives -0.0490 eV/atom. As for the crystal system: monoclinic.

***

Here is a relaxed structure of Mg2ZnCu2 from Alexandria. Energies are from PBE.

a = 11.986 Å, b = 5.330 Å, c = 5.150 Å
α = 90.00°, β = 101.71°, γ = 90.00°
Space group C2/c (No. 15)
Symmetry-distinct sites (fractional):
Mg (0.134, 0.135, 0.049) x8
Zn (0.000, 0.498, 0.250) x4
Cu (0.175, 0.370, 0.576) x8

The calculation puts the volume at 322 Å³/cell. For the density of states at the Fermi level, the calculation gives 7.61 states/eV per cell. For the calculated formation energy, the calculation gives -0.0664 eV/atom. As for the crystal system: monoclinic.

***

Here is a relaxed structure of MgZn2Cu from Alexandria. Energies are from PBE.

a = 5.425 Å, b = 8.171 Å, c = 2.783 Å
α = 90.00°, β = 97.33°, γ = 90.00°
Space group C2/m (No. 12)
Symmetry-distinct sites (fractional):
Mg (0.000, 0.000, 0.000) x2
Zn (0.250, 0.250, 0.500) x4
Cu (0.000, 0.500, 0.000) x2

The calculation puts the volume at 122 Å³/cell. For the density of states at the Fermi level, the calculation gives 1.23 states/eV per cell. For the calculated formation energy, the calculation gives -0.0019 eV/atom. As for the crystal system: monoclinic.

***

Here is a relaxed structure of Mg2Zn2Cu from Alexandria. Energies are from PBE.

a = 5.218 Å, b = 5.218 Å, c = 7.178 Å
α = 90.00°, β = 90.00°, γ = 90.00°
Space group I4/mmm (No. 139)
Symmetry-distinct sites (fractional):
Mg (0.000, 0.500, 0.250) x4
Zn (0.000, 0.000, 0.163) x4
Cu (0.000, 0.000, 0.500) x2

The calculation puts the volume at 195 Å³/cell. For the density of states at the Fermi level, the calculation gives 1.83 states/eV per cell. For the calculated formation energy, the calculation gives 0.2008 eV/atom. For the excess energy over the best structure of this formula in the dataset, the calculation gives 318 meV per atom. As for the crystal system: tetragonal.

***

Here is a relaxed structure of MgZnCu5 from Alexandria. Energies are from PBE.

a = 3.531 Å, b = 3.531 Å, c = 8.134 Å
α = 90.00°, β = 90.00°, γ = 90.00°
Space group P4/mmm (No. 123)
Symmetry-distinct sites (fractional):
Mg (0.000, 0.000, 0.000) x1
Zn (0.500, 0.500, 0.500) x1
Cu (0.000, 0.000, 0.500) x1
Cu (0.000, 0.500, 0.262) x4

The calculation puts the volume at 101 Å³/cell. For the density of states at the Fermi level, the calculation gives 2.55 states/eV per cell. For the calculated formation energy, the calculation gives 0.0361 eV/atom. For the excess energy over the best structure of this formula in the dataset, the calculation gives 0 meV per atom. As for the crystal system: tetragonal.

***

Here is a relaxed structure of MgZn3Cu2 from Alexandria. Energies are from PBE.

a = 4.9514 Å, b = 4.9514 Å, c = 8.7613 Å
α = 90.00°, β = 90.00°, γ = 120.00°
Space group P6_3/mmc (No. 194)
Symmetry-distinct sites (fractional):
Mg (0.0000, 0.0000, 0.0000) x2
Zn (0.1703, 0.3406, 0.2500) x6
Cu (0.3333, 0.6667, 0.5177) x4

The calculation puts the volume at 186 Å³/cell. For the density of states at the Fermi level, the calculation gives 5.59 states/eV per cell. For the calculated formation energy, the calculation gives 0.1363 eV/atom. For the excess energy over the best structure of this formula in the dataset, the calculation gives 202 meV per atom. As for the crystal system: hexagonal.

***

Here is a relaxed structure of Mg2ZnCu4 from Alexandria. Energies are from PBE.

a = 6.276 Å, b = 6.276 Å, c = 5.533 Å
α = 90.00°, β = 90.00°, γ = 90.00°
Space group I4/mmm (No. 139)
Symmetry-distinct sites (fractional):
Mg (0.000, 0.500, 0.250) x4
Zn (0.000, 0.000, 0.000) x2
Cu (0.199, 0.199, 0.500) x8

The calculation puts the volume at 218 Å³/cell. For the density of states at the Fermi level, the calculation gives 3.25 states/eV per cell. For the calculated formation energy, the calculation gives 0.1345 eV/atom. For the excess energy over the best structure of this formula in the dataset, the calculation gives 168 meV per atom. As for the crystal system: tetragonal.

***

Here is a relaxed structure of MgZn2Cu3 from Alexandria. Energies are from PBE.

a = 4.2678 Å, b = 4.2678 Å, c = 10.6673 Å
α = 90.00°, β = 90.00°, γ = 120.00°
Space group P6_3/mmc (No. 194)
Symmetry-distinct sites (fractional):
Mg (0.0000, 0.0000, 0.2500) x2
Zn (0.3333, 0.6667, 0.1035) x4
Cu (0.0000, 0.0000, 0.0000) x2
Cu (0.3333, 0.6667, 0.6308) x4

The calculation puts the volume at 168 Å³/cell. For the density of states at the Fermi level, the calculation gives 2.03 states/eV per cell. For the calculated formation energy, the calculation gives -0.1024 eV/atom. For the excess energy over the best structure of this formula in the dataset, the calculation gives 0 meV per atom. As for the crystal system: hexagonal.

***

> Which value of volume does entry 7 give?

218 Å³/cell